{"formula": "SnAsHW2", "functional": "PBE-GGA", "state": "optimized geometry", "lattice": [[5.032, 0.000, 0.000], [0.000, 5.149, 0.000], [0.000, 0.000, 5.032]], "species": ["H", "As", "Sn", "W", "W"], "frac_coords": [[0.500, 0.500, 0.500], [0.000, 0.500, 0.000], [0.000, 0.000, 0.000], [0.000, 0.000, 0.500], [0.500, 0.000, 0.000]], "magnetic_moment_mub_per_atom": 0.0000, "spacegroup": "P4/mmm", "final_energy_ev_per_cell": -22.80, "crystal_system": "tetragonal"}